1.
The following is a DFT calculation (PBE-GGA) of a geometry-optimized Ca5Pb4Au structure.

Structure (POSCAR):
```
Ca5Pb4Au
1.0
3.643 0.000 0.000
0.000 3.643 0.000
0.000 0.000 21.688
Ca Pb Au
5 4 1
Cartesian
0.000 0.000 0.000 Ca
0.000 0.000 4.560 Ca
0.000 0.000 9.048 Ca
0.000 0.000 12.640 Ca
0.000 0.000 17.128 Ca
1.821 1.821 2.274 Pb
1.821 1.821 6.807 Pb
1.821 1.821 14.881 Pb
1.821 1.821 19.413 Pb
1.821 1.821 10.844 Au
```

Output
E ... -3.40 eV/atom

=====

2.
The following is a DFT calculation (PBE-GGA) of a geometry-optimized Ca4PbAu structure.

Structure (POSCAR):
```
Ca4PbAu
1.0
3.684 -3.684 0.000
3.684 3.684 0.000
-0.011 0.000 7.590
Ca Pb Au
4 1 1
Cartesian
5.521 -1.843 1.829 Ca
1.836 1.843 5.761 Ca
5.521 1.843 1.829 Ca
1.836 -1.843 5.761 Ca
-0.005 0.000 3.795 Pb
3.684 0.000 0.000 Au
```

Output
E ... -2.96 eV/atom

=====

3.
The following is a DFT calculation (PBE-GGA) of a geometry-optimized CaPb2Au2 structure.

Structure (POSCAR):
```
CaPb2Au2
1.0
-2.511 2.511 5.617
2.511 -2.511 5.617
2.511 2.511 -5.617
Ca Pb Au
1 2 2
Cartesian
0.000 0.000 0.000 Ca
0.000 0.000 4.131 Pb
0.000 0.000 7.104 Pb
2.511 0.000 2.809 Au
0.000 2.511 2.809 Au
```

Output
E ... -3.40 eV/atom

=====

4.
The following is a DFT calculation (PBE-GGA) of a geometry-optimized Ca3PbAu5 structure.

Structure (POSCAR):
```
Ca3PbAu5
1.0
7.740 -4.465 0.000
7.740 4.465 0.000
0.000 0.000 6.103
Ca Pb Au
6 2 10
Cartesian
4.939 1.614 1.526 Ca
7.740 3.231 4.577 Ca
4.939 -1.614 4.577 Ca
10.540 1.614 1.526 Ca
7.740 -3.231 1.526 Ca
10.540 -1.614 4.577 Ca
7.740 0.000 0.000 Pb
7.740 0.000 3.051 Pb
2.579 0.000 0.000 Au
2.579 0.000 3.051 Au
5.335 1.390 4.577 Au
7.740 2.773 1.526 Au
5.335 -1.390 1.526 Au
10.144 1.390 4.577 Au
7.740 -2.773 4.577 Au
10.144 -1.390 1.526 Au
12.901 0.000 0.000 Au
12.901 0.000 3.051 Au
```

Output
E ... -3.50 eV/atom

=====

The lowest E belongs to which entry?
Ca3PbAu5

=====

Which of these has the lowest E?
Ca3PbAu5